Ac2Sn6Ir PBE relaxed; total magnetization = 0.0 μB per cell; energy of formation from the pure elements = -4.457 eV/f.u.; mass density = 9.2 Mg/m³; electronic total energy = -45.6 eV for the cell shown; DOS(E_F) = 0.530 states/eV per atom; V = 245.04 Å³/cell
1.0
5.963 -0.032 -0.019
0.034 6.889 0.008
0.034 3.439 5.969
Sn Ac Ir
6 2 1
Cartesian
1.817 5.229 4.925 Sn
1.832 8.524 4.933 Sn
4.215 3.420 3.878 Sn
1.817 6.875 2.080 Sn
4.215 5.066 1.033 Sn
4.199 1.771 1.025 Sn
4.852 6.865 3.973 Ac
1.179 3.430 1.985 Ac
0.000 0.000 0.000 Ir

***

AcSn8Ir6 PBE relaxed; total magnetization = 0.0 μB per cell; energy of formation from the pure elements = -2.721 eV/f.u.; mass density = 11.9 Mg/m³; electronic total energy = -92.0 eV for the cell shown; DOS(E_F) = 0.300 states/eV per atom; V = 324.82 Å³/cell
1.0
-2.886 -1.737 7.415
-3.458 -7.233 1.432
2.921 -5.108 4.413
Sn Ir Ac
8 6 1
Cartesian
-1.317 -11.084 10.308 Sn
-2.660 -8.523 4.398 Sn
0.028 -6.759 4.398 Sn
-0.763 -5.554 8.862 Sn
-2.085 -9.776 7.302 Sn
-2.106 -2.994 2.952 Sn
-3.451 -7.319 8.862 Sn
-1.338 -4.301 5.958 Sn
-1.048 -8.415 9.454 Ir
-0.197 -9.411 5.085 Ir
-4.441 -8.724 6.482 Ir
-3.226 -4.666 8.175 Ir
-2.375 -5.662 3.806 Ir
1.018 -5.353 6.778 Ir
0.000 0.000 0.000 Ac

***

Ac8Sn2Ir3 PBE relaxed; total magnetization = 0.0 μB per cell; energy of formation from the pure elements = -5.935 eV/f.u.; mass density = 9.5 Mg/m³; electronic total energy = -73.4 eV for the cell shown; DOS(E_F) = 0.890 states/eV per atom; V = 461.72 Å³/cell
1.0
5.342 0.001 0.001
0.000 9.283 -5.323
-0.008 -0.604 9.658
Ac Ir Sn
8 3 2
Cartesian
-0.004 7.782 2.788 Ac
2.667 5.537 4.072 Ac
2.667 0.731 6.811 Ac
2.667 7.948 -2.475 Ac
2.667 3.142 0.265 Ac
-0.003 3.140 5.443 Ac
5.338 5.540 -1.106 Ac
5.338 0.897 1.548 Ac
5.342 6.891 -3.947 Ir
-0.007 1.788 8.284 Ir
2.671 0.000 0.001 Ir
2.666 6.605 0.749 Sn
2.668 2.075 3.588 Sn

***

Ac6SnIr3 PBE relaxed; total magnetization = 0.0 μB per cell; energy of formation from the pure elements = -6.254 eV/f.u.; mass density = 10.0 Mg/m³; electronic total energy = -123.0 eV for the cell shown; DOS(E_F) = 0.683 states/eV per atom; V = 686.49 Å³/cell
1.0
-1.298 -2.546 3.450
-5.604 -7.898 -7.938
12.130 -3.963 1.638
Ac Ir Sn
12 6 2
Cartesian
3.782 -8.040 -0.148 Ac
-5.108 -9.525 -4.589 Ac
1.447 -6.368 -2.701 Ac
10.336 -4.882 1.739 Ac
7.737 -9.181 -2.411 Ac
1.310 -9.555 -5.105 Ac
1.423 -3.224 -0.390 Ac
7.027 -5.851 -0.221 Ac
-2.508 -5.227 -0.439 Ac
-1.798 -8.556 -2.629 Ac
3.805 -11.183 -2.460 Ac
3.918 -4.852 2.255 Ac
1.213 -9.262 -2.017 Ir
-1.411 -5.607 -3.215 Ir
6.067 -10.918 -4.322 Ir
6.640 -8.800 0.366 Ir
4.016 -5.146 -0.833 Ir
-0.839 -3.489 1.472 Ir
-1.967 -9.323 -6.167 Sn
7.195 -5.084 3.317 Sn